Record 1
Compound: Ho2CdSe
Source: Alexandria
Functional: GGA-PBE
Structure: relaxed

Summary:
Formation energy (no corrections) in meV per atom: -887

Unit cell a=3.7843 b=3.7843 c=25.3650 alpha=90.00 beta=90.00 gamma=120.00
With the nearest neighbours (Å) after each atom.
Space group R3m (No. 160, hexagonal axes)
Asymmetric unit:
Ho 0.0000 0.0000 0.0000 (multiplicity 3)  3 Se 2.90, 3 Cd 3.16
Ho 0.0000 0.0000 0.1519 (multiplicity 3)  3 Se 2.92, 3 Cd 3.18
Cd 0.0000 0.0000 0.5764 (multiplicity 3)  6 Ho 3.16-3.18
Se 0.0000 0.0000 0.4087 (multiplicity 3)  6 Ho 2.90-2.92



Record 2
Compound: Ho5CdSe4
Source: Alexandria
Functional: GGA-PBE
Structure: relaxed

Summary:
Formation energy (no corrections) in meV per atom: -1420

Unit cell a=9.1934 b=9.1934 c=5.8181 alpha=90.00 beta=90.00 gamma=90.00
With the nearest neighbours (Å) after each atom.
Space group I4/m (No. 87)
Asymmetric unit:
Ho 0.0000 0.0000 0.0000 (multiplicity 2)  2 Cd 2.91, 4 Se 2.93
Ho 0.1015 0.6955 0.5000 (multiplicity 8)  5 Se 2.86-2.91, 1 Cd 2.95
Cd 0.0000 0.0000 0.5000 (multiplicity 2)  6 Ho 2.91-2.95
Se 0.0999 0.6976 0.0000 (multiplicity 8)  6 Ho 2.86-2.93



Record 3
Compound: Ho4CdSe3
Source: Alexandria
Functional: GGA-PBE
Structure: relaxed

Summary:
Formation energy (no corrections) in meV per atom: -1316

Unit cell a=8.4637 b=11.6973 c=4.0099 alpha=90.00 beta=90.00 gamma=90.00
With the nearest neighbours (Å) after each atom.
Space group Cmmm (No. 65)
Asymmetric unit:
Ho 0.0000 0.2482 0.0000 (multiplicity 4)  5 Se 2.90-2.92, 1 Cd 2.95
Ho 0.2433 0.0000 0.5000 (multiplicity 4)  4 Se 2.87-2.92, 2 Cd 2.96
Cd 0.0000 0.5000 0.0000 (multiplicity 2)  6 Ho 2.95-2.96
Se 0.0000 0.0000 0.0000 (multiplicity 2)  6 Ho 2.87-2.90
Se 0.2500 0.2500 0.5000 (multiplicity 4)  6 Ho 2.92



Record 4
Compound: Sr3Ho3CdSe8
Source: Alexandria
Functional: GGA-PBE
Structure: relaxed

Summary:
Formation energy (no corrections) in meV per atom: -1725

Unit cell a=8.3338 b=8.3338 c=21.2539 alpha=90.00 beta=90.00 gamma=120.00
With the nearest neighbours (Å) after each atom.
Space group R-3m (No. 166, hexagonal axes)
Asymmetric unit:
Sr 0.0000 0.5000 0.0000 (multiplicity 9)  6 Se 3.08-3.11
Ho 0.0000 0.5000 0.5000 (multiplicity 9)  6 Se 2.87-2.90
Cd 0.0000 0.0000 0.5000 (multiplicity 3)  6 Se 2.92
Se 0.0000 0.0000 0.2428 (multiplicity 6)  3 Ho 2.90, 3 Sr 3.08
Se 0.0049 0.5025 0.7581 (multiplicity 18)  2 Ho 2.87, 1 Cd 2.92, 2 Sr 3.11



Record 5
Compound: Ho2Tl3CdSe6
Source: Alexandria
Functional: GGA-PBE
Structure: relaxed

Summary:
Formation energy (no corrections) in meV per atom: -1017

Unit cell a=7.2309 b=12.5456 c=7.8788 alpha=90.00 beta=107.87 gamma=90.00
With the nearest neighbours (Å) after each atom.
Space group C2/m (No. 12)
Asymmetric unit:
Ho 0.0000 0.1668 0.0000 (multiplicity 4)  6 Se 2.87
Tl 0.0000 0.0000 0.5000 (multiplicity 2)  6 Se 3.23-3.26
Tl 0.0000 0.3321 0.5000 (multiplicity 4)  6 Se 3.22-3.27
Cd 0.0000 0.5000 0.0000 (multiplicity 2)  6 Se 2.90-2.91
Se 0.2337 0.0000 0.2099 (multiplicity 4)  2 Ho 2.87, 1 Cd 2.90
Se 0.2387 0.3313 0.2103 (multiplicity 8)  2 Ho 2.87, 1 Cd 2.91



Record 6
Compound: Ho2CdSi
Source: Alexandria
Functional: GGA-PBE
Structure: relaxed

Summary:
Formation energy (no corrections) in meV per atom: -310

Unit cell a=3.8293 b=3.8293 c=25.0653 alpha=90.00 beta=90.00 gamma=120.00
With the nearest neighbours (Å) after each atom.
Space group R-3m (No. 166, hexagonal axes)
Asymmetric unit:
Ho 0.0000 0.0000 0.2374 (multiplicity 6)  3 Si 2.83
Cd 0.0000 0.0000 0.0000 (multiplicity 3)  6 Ho 3.27
Si 0.0000 0.0000 0.5000 (multiplicity 3)  6 Ho 2.83



Record 7
Compound: Ho2CdSi
Source: Alexandria
Functional: GGA-PBE
Structure: relaxed

Summary:
Formation energy (no corrections) in meV per atom: -410

Unit cell a=3.6728 b=3.6728 c=6.9786 alpha=90.00 beta=90.00 gamma=90.00
With the nearest neighbours (Å) after each atom.
Space group P4/mmm (No. 123)
Asymmetric unit:
Ho 0.0000 0.0000 0.2276 (multiplicity 2)  4 Si 3.04, 1 Ho 3.18, 4 Cd 3.22
Cd 0.5000 0.5000 0.5000 (multiplicity 1)  8 Ho 3.22, 2 Si 3.49
Si 0.5000 0.5000 0.0000 (multiplicity 1)  8 Ho 3.04



Record 8
Compound: TbHoCdSi
Source: Alexandria
Functional: GGA-PBE
Structure: relaxed

Summary:
Formation energy (no corrections) in meV per atom: -384

Unit cell a=7.2094 b=7.2094 c=7.2094 alpha=90.00 beta=90.00 gamma=90.00
With the nearest neighbours (Å) after each atom.
Space group F-43m (No. 216)
Asymmetric unit:
Tb 0.0000 0.0000 0.0000 (multiplicity 4)  4 Cd 3.12, 4 Si 3.12
Ho 0.0000 0.0000 0.5000 (multiplicity 4)  4 Cd 3.12, 4 Si 3.12
Cd 0.2500 0.2500 0.7500 (multiplicity 4)  4 Tb 3.12, 4 Ho 3.12
Si 0.2500 0.2500 0.2500 (multiplicity 4)  4 Tb 3.12, 4 Ho 3.12



Record 9
Compound: Sm6Ho2Cd
Source: Alexandria
Functional: GGA-PBE
Structure: relaxed

Summary:
Formation energy in eV/atom: -0.04

Unit cell a=6.1584 b=8.8184 c=10.8040 alpha=78.20 beta=89.92 gamma=83.19
With the nearest neighbours (Å) after each atom.
Space group P-1 (No. 2)
Asymmetric unit:
Sm 0.1405 0.1658 0.3110 (multiplicity 2)  7 Sm 3.47-3.79, 4 Ho 3.52-3.56, 1 Cd 3.68
Sm 0.1417 0.1636 0.6354 (multiplicity 2)  6 Sm 3.48-3.78, 5 Ho 3.51-3.57, 1 Cd 3.63
Sm 0.2501 0.4840 0.0827 (multiplicity 2)  2 Cd 3.35-3.63, 9 Sm 3.47-3.65, 1 Ho 3.65
Sm 0.2588 0.4867 0.7520 (multiplicity 2)  1 Cd 3.38, 7 Sm 3.49-3.66, 4 Ho 3.55-3.60
Sm 0.3296 0.8400 0.8682 (multiplicity 2)  7 Sm 3.38-3.66, 3 Cd 3.40-3.63, 1 Ho 3.71
Sm 0.3342 0.8459 0.1804 (multiplicity 2)  3 Cd 3.36-3.56, 6 Sm 3.38-3.65, 2 Ho 3.65-3.73
Ho 0.2482 0.5010 0.4177 (multiplicity 2)  4 Ho 3.49-3.57, 8 Sm 3.52-3.65
Ho 0.3648 0.8292 0.5277 (multiplicity 2)  3 Ho 3.49-3.56, 9 Sm 3.51-3.73
Cd 0.1515 0.1722 0.9696 (multiplicity 2)  11 Sm 3.35-3.68, 1 Cd 3.70



Record 10
Compound: Sm3Ho3Cd2
Source: Alexandria
Functional: GGA-PBE
Structure: relaxed

Summary:
Formation energy in eV/atom: -0.06

Unit cell a=5.2637 b=11.7198 c=15.7453 alpha=90.00 beta=90.00 gamma=90.00
With the nearest neighbours (Å) after each atom.
Space group Cmcm (No. 63)
Asymmetric unit:
Sm 0.0000 0.0390 0.1063 (multiplicity 8)  1 Cd 3.21, 2 Sm 3.47-3.49, 4 Ho 3.47-3.58
Sm 0.0000 0.2658 0.2500 (multiplicity 4)  4 Cd 3.20, 3 Ho 3.28-3.56, 2 Sm 3.49
Ho 0.0000 0.3565 0.0343 (multiplicity 8)  3 Cd 3.03-3.24
Ho 0.0000 0.4542 0.7500 (multiplicity 4)  2 Cd 3.17, 5 Sm 3.28-3.47
Cd 0.0000 0.2323 0.6347 (multiplicity 8)  4 Ho 3.03-3.24, 3 Sm 3.20-3.21



Record 11
Compound: Sm8Ho2Cd
Source: Alexandria
Functional: GGA-PBE
Structure: relaxed

Summary:
Formation energy in eV/atom: -0.02

Unit cell a=18.1580 b=5.0438 c=7.9780 alpha=90.00 beta=105.46 gamma=90.00
With the nearest neighbours (Å) after each atom.
Space group C2/m (No. 12)
Asymmetric unit:
Sm 0.0456 0.0000 0.2236 (multiplicity 4)  1 Ho 3.51, 9 Sm 3.51-3.59, 2 Cd 3.59
Sm 0.0903 0.5000 0.9454 (multiplicity 4)  1 Cd 3.49, 8 Sm 3.53-3.64, 3 Ho 3.55-3.58
Sm 0.1359 0.0000 0.6799 (multiplicity 4)  7 Sm 3.53-3.59, 3 Ho 3.55-3.60, 2 Cd 3.55
Sm 0.1810 0.5000 0.4104 (multiplicity 4)  1 Cd 3.54, 8 Sm 3.55-3.64, 3 Ho 3.57-3.58
Ho 0.2245 0.0000 0.1343 (multiplicity 4)  10 Sm 3.51-3.60, 2 Ho 3.59
Cd 0.0000 0.5000 0.5000 (multiplicity 2)  12 Sm 3.49-3.59



Record 12
Compound: Sm4HoCd3
Source: Alexandria
Functional: GGA-PBE
Structure: relaxed

Summary:
Formation energy in eV/atom: -0.19

Unit cell a=3.7784 b=5.4850 c=11.1046 alpha=90.00 beta=90.00 gamma=90.00
With the nearest neighbours (Å) after each atom.
Space group Pmmm (No. 47)
Asymmetric unit:
Sm 0.0000 0.0000 0.0000 (multiplicity 1)  8 Cd 3.33-3.38
Sm 0.0000 0.0000 0.5000 (multiplicity 1)  4 Ho 3.33, 4 Cd 3.33
Sm 0.0000 0.5000 0.2383 (multiplicity 2)  6 Cd 3.25-3.33, 2 Ho 3.47
Ho 0.5000 0.5000 0.5000 (multiplicity 1)  8 Sm 3.33-3.47
Cd 0.5000 0.0000 0.2529 (multiplicity 2)  8 Sm 3.33-3.38
Cd 0.5000 0.5000 0.0000 (multiplicity 1)  8 Sm 3.25-3.33



Record-wise calculated density values, in kg/m³: 8254 8462 8441 5852 7466 7361 8297 8231 7832 8006 7758 7963
Record-wise total magnetization values, in μB per atom: 0.001 0.000 0.000 0.000 0.000 0.000 0.000 0.000 0.000 0.000 0.000 0.003
Record-wise energy values, in eV/atom: -4.2762 -5.1940 -5.0262 -4.8961 -4.1899 -4.1832 -4.2838 -4.2706 -4.3022 -3.7787 -4.3653 -3.4610